Entry 1:
# LaCePdPt | Alexandria via LeMat-Bulk | GGA-PBE | optimized geometry
# DOS at the Fermi energy: 1.9482 states/eV/atom
# magnetic moment: 0.9 μB per formula unit
# energy above the most stable polymorph in this dataset: 0.00 kJ per mole of atoms
# calculated density: 9.74 g/cm³
# calculated formation energy: -936 meV per atom
data_LaCePdPt
_cell_length_a 4.599
_cell_length_b 3.914
_cell_length_c 10.994
_cell_angle_alpha 90.00
_cell_angle_beta 90.00
_cell_angle_gamma 90.00
_symmetry_space_group_name_H-M 'A m m 2'
_symmetry_Int_Tables_number 38
loop_
_symmetry_equiv_pos_as_xyz
'x,y,z'
'-x,-y,z'
'-x,y,z'
'x,-y,z'
'x,y+1/2,z+1/2'
'-x,-y+1/2,z+1/2'
'-x,y+1/2,z+1/2'
'x,-y+1/2,z+1/2'
loop_
_atom_site_label
_atom_site_type_symbol
_atom_site_fract_x
_atom_site_fract_y
_atom_site_fract_z
La1 La 0.000 0.000 0.000
Ce1 Ce 0.500 0.000 0.729
Pd1 Pd 0.000 0.000 0.271
Pt1 Pt 0.500 0.000 0.452

***

Entry 2:
# LaCePdRu | Alexandria via LeMat-Bulk | GGA-PBE | optimized geometry
# DOS at the Fermi energy: 1.1283 states/eV/atom
# magnetic moment: 0.5 μB per formula unit
# calculated density: 8.94 g/cm³
# calculated formation energy: -443 meV per atom
data_LaCePdRu
_cell_length_a 7.123
_cell_length_b 7.123
_cell_length_c 7.123
_cell_angle_alpha 90.00
_cell_angle_beta 90.00
_cell_angle_gamma 90.00
_symmetry_space_group_name_H-M 'F -4 3 m'
_symmetry_Int_Tables_number 216
_symmetry_space_group_name_Hall 'F -4 2 3'
loop_
_atom_site_label
_atom_site_type_symbol
_atom_site_fract_x
_atom_site_fract_y
_atom_site_fract_z
La1 La 0.000 0.000 0.000
Ce1 Ce 0.000 0.000 0.500
Pd1 Pd 0.250 0.250 0.750
Ru1 Ru 0.250 0.250 0.250